Entry 1:
Density functional theory data (PBE) for a relaxed structure of AcCd4Au.

a = 8.9386 Å, b = 8.9386 Å, c = 7.8013 Å
α = 90.00°, β = 90.00°, γ = 150.26°
Sites, in units of the cell vectors:
Ac 0.1262 0.8738 0.7500
Ac 0.8738 0.1262 0.2500
Cd 0.0724 0.9276 0.2500
Cd 0.3251 0.6749 0.5620
Cd 0.3251 0.6749 0.9380
Cd 0.5000 0.5000 0.0000
Cd 0.5000 0.5000 0.5000
Cd 0.6749 0.3251 0.0620
Cd 0.6749 0.3251 0.4380
Cd 0.9276 0.0724 0.7500
Au 0.2397 0.7603 0.2500
Au 0.7603 0.2397 0.7500

Summary:
offset from the most stable computed form	0.00	eV/f.u.
space group	Cmcm (63)
total DFT energy (no corrections)	-26.02	eV/cell
energy of formation	-327	meV per atom


Entry 2:
Density functional theory data (PBE) for a relaxed structure of Ac4Cd2Au.

a = 9.2044 Å, b = 9.2044 Å, c = 9.2044 Å
α = 142.18°, β = 142.18°, γ = 54.55°
Sites, in units of the cell vectors:
Ac 0.0000 0.5000 0.5000
Ac 0.1927 0.1927 0.0000
Ac 0.5000 0.0000 0.5000
Ac 0.8073 0.8073 0.0000
Cd 0.3919 0.3919 0.0000
Cd 0.6081 0.6081 0.0000
Au 0.0000 0.0000 0.0000

Summary:
offset from the most stable computed form	1.11	eV/f.u.
space group	I4/mmm (139)
total DFT energy (no corrections)	-22.44	eV/cell
energy of formation	-129	meV per atom


Entry 3:
Density functional theory data (PBE) for a relaxed structure of Ac6CdAu2.

a = 9.5387 Å, b = 9.5387 Å, c = 9.5387 Å
α = 113.96°, β = 109.74°, γ = 104.84°
Sites, in units of the cell vectors:
Ac 0.0513 0.2406 0.8107
Ac 0.1773 0.2844 0.4617
Ac 0.1773 0.7156 0.8929
Ac 0.3296 0.0231 0.6936
Ac 0.3296 0.6360 0.3064
Ac 0.4299 0.2406 0.1893
Ac 0.5701 0.7594 0.8107
Ac 0.6704 0.3640 0.6936
Ac 0.6704 0.9769 0.3064
Ac 0.8227 0.2844 0.1071
Ac 0.8227 0.7156 0.5383
Ac 0.9487 0.7594 0.1893
Cd 0.0000 0.0000 0.0000
Cd 0.5000 0.5000 0.0000
Au 0.1276 0.6276 0.5000
Au 0.3378 0.0000 0.3378
Au 0.6622 0.0000 0.6622
Au 0.8724 0.3724 0.5000

Summary:
space group	Immm (71)
total DFT energy (no corrections)	-71.41	eV/cell
energy of formation	-399	meV per atom


Entry 4:
Density functional theory data (PBE) for a relaxed structure of AcCd3Au.

a = 7.1478 Å, b = 7.1478 Å, c = 5.9821 Å
α = 90.00°, β = 90.00°, γ = 120.00°
Sites, in units of the cell vectors:
Ac 0.3333 0.6667 0.2500
Ac 0.6667 0.3333 0.7500
Cd 0.1925 0.3851 0.7500
Cd 0.1925 0.8075 0.7500
Cd 0.3851 0.1925 0.2500
Cd 0.6149 0.8075 0.7500
Cd 0.8075 0.1925 0.2500
Cd 0.8075 0.6149 0.2500
Au 0.0000 0.0000 0.0000
Au 0.0000 0.0000 0.5000

Summary:
offset from the most stable computed form	0.63	eV/f.u.
space group	P6_3/mmc (194)
total DFT energy (no corrections)	-22.94	eV/cell
energy of formation	-268	meV per atom


Entry 5:
Density functional theory data (PBE) for a relaxed structure of Ac4CdAu7.

a = 8.2553 Å, b = 8.2553 Å, c = 9.7661 Å
α = 119.08°, β = 119.08°, γ = 36.76°
Sites, in units of the cell vectors:
Ac 0.0639 0.0639 0.2549
Ac 0.2229 0.2229 0.7633
Ac 0.7771 0.7771 0.2367
Ac 0.9361 0.9361 0.7451
Cd 0.5000 0.5000 0.5000
Au 0.0000 0.0000 0.5000
Au 0.1600 0.1600 0.0400
Au 0.3066 0.3066 0.5164
Au 0.3898 0.3898 0.1440
Au 0.6102 0.6102 0.8560
Au 0.6934 0.6934 0.4836
Au 0.8400 0.8400 0.9600

Summary:
space group	C2/m (12)
total DFT energy (no corrections)	-48.47	eV/cell
energy of formation	-681	meV per atom


Entry 6:
Density functional theory data (PBE) for a relaxed structure of Ac3CdAu.

a = 11.1229 Å, b = 11.1229 Å, c = 5.6692 Å
α = 90.00°, β = 90.00°, γ = 150.44°
Sites, in units of the cell vectors:
Ac 0.0655 0.9345 0.7500
Ac 0.2485 0.7515 0.7500
Ac 0.4303 0.5697 0.7500
Ac 0.5697 0.4303 0.2500
Ac 0.7515 0.2485 0.2500
Ac 0.9345 0.0655 0.2500
Cd 0.1556 0.8444 0.2500
Cd 0.8444 0.1556 0.7500
Au 0.3397 0.6603 0.2500
Au 0.6603 0.3397 0.7500

Summary:
offset from the most stable computed form	0.00	eV/f.u.
space group	Cmcm (63)
total DFT energy (no corrections)	-37.00	eV/cell
energy of formation	-396	meV per atom


Entry 7:
Density functional theory data (PBE) for a relaxed structure of Ac2Cd12Au5.

a = 7.6376 Å, b = 7.6376 Å, c = 7.6376 Å
α = 83.18°, β = 83.18°, γ = 83.18°
Sites, in units of the cell vectors:
Ac 0.1692 0.1692 0.1692
Ac 0.8308 0.8308 0.8308
Cd 0.1502 0.1502 0.6530
Cd 0.1502 0.6530 0.1502
Cd 0.2082 0.5000 0.7918
Cd 0.2082 0.7918 0.5000
Cd 0.3470 0.8498 0.8498
Cd 0.5000 0.2082 0.7918
Cd 0.5000 0.7918 0.2082
Cd 0.6530 0.1502 0.1502
Cd 0.7918 0.2082 0.5000
Cd 0.7918 0.5000 0.2082
Cd 0.8498 0.3470 0.8498
Cd 0.8498 0.8498 0.3470
Au 0.0000 0.5000 0.5000
Au 0.3916 0.3916 0.3916
Au 0.5000 0.0000 0.5000
Au 0.5000 0.5000 0.0000
Au 0.6084 0.6084 0.6084

Summary:
space group	R-3m (166)
total DFT energy (no corrections)	-40.55	eV/cell
energy of formation	-262	meV per atom


Entry 8:
Density functional theory data (PBE) for a relaxed structure of Ac2CdAu4.

a = 8.8424 Å, b = 8.8424 Å, c = 8.8424 Å
α = 146.14°, β = 146.14°, γ = 48.63°
Sites, in units of the cell vectors:
Ac 0.1336 0.1336 0.0000
Ac 0.8664 0.8664 0.0000
Cd 0.5000 0.5000 0.0000
Au 0.0000 0.5000 0.5000
Au 0.3241 0.3241 0.0000
Au 0.5000 0.0000 0.5000
Au 0.6759 0.6759 0.0000

Summary:
offset from the most stable computed form	1.40	eV/f.u.
space group	I4/mmm (139)
total DFT energy (no corrections)	-24.89	eV/cell
energy of formation	-379	meV per atom


Entry 9:
Density functional theory data (PBE) for a relaxed structure of Ac3Cd2Au.

a = 4.0120 Å, b = 4.0120 Å, c = 12.1070 Å
α = 90.00°, β = 90.00°, γ = 90.00°
Sites, in units of the cell vectors:
Ac 0.0000 0.0000 0.0000
Ac 0.0000 0.0000 0.3461
Ac 0.0000 0.0000 0.6539
Cd 0.5000 0.5000 0.1680
Cd 0.5000 0.5000 0.8320
Au 0.5000 0.5000 0.5000

Summary:
offset from the most stable computed form	0.00	eV/f.u.
space group	P4/mmm (123)
total DFT energy (no corrections)	-20.17	eV/cell
energy of formation	-457	meV per atom


Entry 10:
Density functional theory data (PBE) for a relaxed structure of Ac2Cd6Au3.

a = 8.5734 Å, b = 8.5734 Å, c = 4.4317 Å
α = 90.00°, β = 90.00°, γ = 120.00°
Sites, in units of the cell vectors:
Ac 0.3333 0.6667 0.0000
Ac 0.6667 0.3333 0.0000
Cd 0.0000 0.1967 0.0000
Cd 0.0000 0.7248 0.5000
Cd 0.1967 0.0000 0.0000
Cd 0.2752 0.2752 0.5000
Cd 0.7248 0.0000 0.5000
Cd 0.8033 0.8033 0.0000
Au 0.0000 0.4012 0.5000
Au 0.4012 0.0000 0.5000
Au 0.5988 0.5988 0.5000

Summary:
space group	P-62m (189)
total DFT energy (no corrections)	-28.05	eV/cell
energy of formation	-410	meV per atom


Entry 11:
Density functional theory data (PBE) for a relaxed structure of Ac2Cd12Au7.

a = 11.3433 Å, b = 11.3433 Å, c = 4.3873 Å
α = 90.00°, β = 90.00°, γ = 120.00°
Sites, in units of the cell vectors:
Ac 0.0000 0.0000 0.0000
Ac 0.3333 0.6667 0.5000
Cd 0.0430 0.7476 0.5000
Cd 0.1137 0.3753 0.0000
Cd 0.2524 0.2954 0.5000
Cd 0.2616 0.8863 0.0000
Cd 0.3840 0.2076 0.0000
Cd 0.5403 0.1166 0.5000
Cd 0.5763 0.4597 0.5000
Cd 0.6247 0.7384 0.0000
Cd 0.7046 0.9570 0.5000
Cd 0.7924 0.1764 0.0000
Cd 0.8236 0.6160 0.0000
Cd 0.8834 0.4237 0.5000
Au 0.0761 0.5967 0.0000
Au 0.2346 0.0330 0.5000
Au 0.4033 0.4794 0.0000
Au 0.5206 0.9239 0.0000
Au 0.6667 0.3333 0.0000
Au 0.7984 0.7654 0.5000
Au 0.9670 0.2016 0.5000

Summary:
space group	P-6 (174)
total DFT energy (no corrections)	-49.66	eV/cell
energy of formation	-358	meV per atom


Entry 12:
Density functional theory data (PBE) for a relaxed structure of Ac4Cd3Au.

a = 4.0270 Å, b = 4.0270 Å, c = 16.1936 Å
α = 90.00°, β = 90.00°, γ = 90.00°
Sites, in units of the cell vectors:
Ac 0.0000 0.0000 0.1149
Ac 0.0000 0.0000 0.3721
Ac 0.0000 0.0000 0.6279
Ac 0.0000 0.0000 0.8851
Cd 0.5000 0.5000 0.2472
Cd 0.5000 0.5000 0.5000
Cd 0.5000 0.5000 0.7528
Au 0.5000 0.5000 0.0000

Summary:
space group	P4/mmm (123)
total DFT energy (no corrections)	-25.77	eV/cell
energy of formation	-414	meV per atom


Entry 13:
Density functional theory data (PBE) for a relaxed structure of AcCd3Au2.

a = 8.8630 Å, b = 8.8630 Å, c = 8.6853 Å
α = 115.50°, β = 115.50°, γ = 29.37°
Sites, in units of the cell vectors:
Ac 0.1412 0.1412 0.0533
Ac 0.8588 0.8588 0.9467
Cd 0.0486 0.0486 0.3930
Cd 0.3121 0.3121 0.5435
Cd 0.3990 0.3990 0.3089
Cd 0.6010 0.6010 0.6911
Cd 0.6879 0.6879 0.4565
Cd 0.9514 0.9514 0.6070
Au 0.2136 0.2136 0.7423
Au 0.4798 0.4798 0.8299
Au 0.5202 0.5202 0.1701
Au 0.7864 0.7864 0.2577

Summary:
offset from the most stable computed form	0.01	eV/f.u.
space group	C2/m (12)
total DFT energy (no corrections)	-32.16	eV/cell
energy of formation	-445	meV per atom


Entry 14:
Density functional theory data (PBE) for a relaxed structure of AcCdAu4.

a = 7.1416 Å, b = 19.2956 Å, c = 4.2612 Å
α = 90.00°, β = 90.00°, γ = 90.00°
Sites, in units of the cell vectors:
Ac 0.2260 0.1653 0.0000
Ac 0.2740 0.6653 0.0000
Ac 0.7260 0.3347 0.0000
Ac 0.7740 0.8347 0.0000
Cd 0.1731 0.4406 0.0000
Cd 0.3269 0.9406 0.0000
Cd 0.6731 0.0594 0.0000
Cd 0.8269 0.5594 0.0000
Au 0.0519 0.9279 0.5000
Au 0.0789 0.7808 0.5000
Au 0.0862 0.3464 0.5000
Au 0.1673 0.5423 0.5000
Au 0.3327 0.0423 0.5000
Au 0.4138 0.8464 0.5000
Au 0.4211 0.2808 0.5000
Au 0.4481 0.4279 0.5000
Au 0.5519 0.5721 0.5000
Au 0.5789 0.7192 0.5000
Au 0.5862 0.1536 0.5000
Au 0.6673 0.9577 0.5000
Au 0.8327 0.4577 0.5000
Au 0.9138 0.6536 0.5000
Au 0.9211 0.2192 0.5000
Au 0.9481 0.0721 0.5000

Summary:
offset from the most stable computed form	0.13	eV/f.u.
space group	Pbam (55)
total DFT energy (no corrections)	-83.54	eV/cell
energy of formation	-459	meV per atom


Entry 15:
Density functional theory data (PBE) for a relaxed structure of Ac3Cd3Au2.

a = 6.1781 Å, b = 6.1781 Å, c = 17.1552 Å
α = 90.00°, β = 90.00°, γ = 133.93°
Sites, in units of the cell vectors:
Ac 0.0804 0.9196 0.6054
Ac 0.0804 0.9196 0.8946
Ac 0.3463 0.6537 0.7500
Ac 0.6537 0.3463 0.2500
Ac 0.9196 0.0804 0.1054
Ac 0.9196 0.0804 0.3946
Cd 0.3642 0.6358 0.2500
Cd 0.3732 0.6268 0.5379
Cd 0.3732 0.6268 0.9621
Cd 0.6268 0.3732 0.0379
Cd 0.6268 0.3732 0.4621
Cd 0.6358 0.3642 0.7500
Au 0.2105 0.7895 0.1123
Au 0.2105 0.7895 0.3877
Au 0.7895 0.2105 0.6123
Au 0.7895 0.2105 0.8877

Summary:
space group	Cmcm (63)
total DFT energy (no corrections)	-51.49	eV/cell
energy of formation	-515	meV per atom


Entry 16:
Density functional theory data (PBE) for a relaxed structure of Ac2CdAu7.

a = 4.2586 Å, b = 4.2586 Å, c = 13.2005 Å
α = 90.00°, β = 90.00°, γ = 90.00°
Sites, in units of the cell vectors:
Ac 0.0000 0.5000 0.2401
Ac 0.5000 0.0000 0.7599
Cd 0.0000 0.0000 0.5000
Au 0.0000 0.0000 0.0000
Au 0.0000 0.5000 0.6472
Au 0.0000 0.5000 0.8572
Au 0.5000 0.0000 0.1428
Au 0.5000 0.0000 0.3528
Au 0.5000 0.5000 0.0000
Au 0.5000 0.5000 0.5000

Summary:
space group	P-4m2 (115)
total DFT energy (no corrections)	-37.55	eV/cell
energy of formation	-548	meV per atom


Entry 17:
Density functional theory data (PBE) for a relaxed structure of Ac6Cd2Au.

a = 7.0681 Å, b = 8.8918 Å, c = 13.0080 Å
α = 90.00°, β = 121.73°, γ = 90.00°
Sites, in units of the cell vectors:
Ac 0.0921 0.1615 0.4474
Ac 0.0921 0.3385 0.9474
Ac 0.3069 0.7030 0.4410
Ac 0.3069 0.7970 0.9410
Ac 0.4051 0.0455 0.2625
Ac 0.4051 0.4545 0.7625
Ac 0.5949 0.5455 0.2375
Ac 0.5949 0.9545 0.7375
Ac 0.6931 0.2030 0.0590
Ac 0.6931 0.2970 0.5590
Ac 0.9079 0.6615 0.0526
Ac 0.9079 0.8385 0.5526
Cd 0.1816 0.1134 0.7647
Cd 0.1816 0.3866 0.2647
Cd 0.8184 0.6134 0.7353
Cd 0.8184 0.8866 0.2353
Au 0.0000 0.0000 0.0000
Au 0.0000 0.5000 0.5000

Summary:
space group	P2_1/c (14)
total DFT energy (no corrections)	-63.39	eV/cell
energy of formation	-215	meV per atom


Entry 18:
Density functional theory data (PBE) for a relaxed structure of Ac2CdAu3.

a = 9.6661 Å, b = 9.6661 Å, c = 9.6661 Å
α = 154.34°, β = 154.06°, γ = 36.81°
Sites, in units of the cell vectors:
Ac 0.0000 0.0000 0.0000
Ac 0.7288 0.2288 0.5000
Cd 0.4008 0.4008 0.0000
Au 0.1542 0.6542 0.5000
Au 0.3066 0.8066 0.5000
Au 0.5573 0.5573 0.0000

Summary:
offset from the most stable computed form	0.15	eV/f.u.
space group	Imm2 (44)
total DFT energy (no corrections)	-23.13	eV/cell
energy of formation	-695	meV per atom


Entry 19:
Density functional theory data (PBE) for a relaxed structure of Ac2Cd3Au.

a = 3.9365 Å, b = 5.0537 Å, c = 8.7527 Å
α = 90.00°, β = 90.00°, γ = 90.00°
Sites, in units of the cell vectors:
Ac 0.0000 0.0000 0.0000
Ac 0.0000 0.5000 0.4653
Cd 0.5000 0.0000 0.6493
Cd 0.5000 0.5000 0.1443
Cd 0.5000 0.5000 0.8100
Au 0.5000 0.0000 0.3169

Summary:
space group	Pmm2 (25)
total DFT energy (no corrections)	-17.03	eV/cell
energy of formation	-466	meV per atom


Entry 20:
Density functional theory data (PBE) for a relaxed structure of AcCd9Au2.

a = 9.6068 Å, b = 9.6068 Å, c = 3.5183 Å
α = 90.00°, β = 90.00°, γ = 120.00°
Sites, in units of the cell vectors:
Ac 0.0000 0.0000 0.0000
Cd 0.0000 0.5000 0.0000
Cd 0.1875 0.3751 0.5000
Cd 0.1875 0.8125 0.5000
Cd 0.3751 0.1875 0.5000
Cd 0.5000 0.0000 0.0000
Cd 0.5000 0.5000 0.0000
Cd 0.6249 0.8125 0.5000
Cd 0.8125 0.1875 0.5000
Cd 0.8125 0.6249 0.5000
Au 0.3333 0.6667 0.0000
Au 0.6667 0.3333 0.0000

Summary:
space group	P6/mmm (191)
total DFT energy (no corrections)	-21.07	eV/cell
energy of formation	-181	meV per atom